(1)
First-principles (PBE-GGA) data for a relaxed Tb2NdDy4Tm crystal, as listed in the Alexandria database.

The structure belongs to space group C2/c (No. 15); the cell edges are 13.576, 13.250 and 6.790 Å and the angles 90.00°, 120.01° and 90.00°. Symmetry generates all atoms from Tb at (0.000, 0.000, 0.000), Tb at (0.250, 0.250, 0.000), Nd at (0.250, 0.250, 0.500), Dy at (0.000, 0.253, 0.502), Dy at (0.248, 0.499, 0.996) and Tm at (0.000, 0.500, 0.000).

The value obtained for the formation energy from the elements is 0.4322 eV per atom. For the uncorrected energy, the calculation gives -4.181 eV/atom.

---

(2)
First-principles (PBE-GGA) data for a relaxed BaZrNi crystal, as listed in the Alexandria database.

The structure belongs to space group F-43m (No. 216); the cell edges are 6.732, 6.732 and 6.732 Å and the angles 90.00°, 90.00° and 90.00°. Symmetry generates all atoms from Ba at (0.000, 0.000, 0.000), Zr at (0.250, 0.250, 0.750) and Ni at (0.250, 0.250, 0.250).

The value obtained for the formation energy from the elements is 1.3482 eV per atom. For the uncorrected energy, the calculation gives -4.069 eV/atom.

---

(3)
First-principles (PBE-GGA) data for a relaxed Fe2HgTeRh crystal, as listed in the Alexandria database.

The structure belongs to space group P4/mmm (No. 123); the cell edges are 4.748, 4.748 and 4.933 Å and the angles 90.00°, 90.00° and 90.00°. Symmetry generates all atoms from Fe at (0.000, 0.500, 0.000), Hg at (0.000, 0.000, 0.500), Te at (0.500, 0.500, 0.000) and Rh at (0.500, 0.500, 0.500).

For the uncorrected energy, the calculation gives -4.603 eV/atom. Its energy relative to the elements, uncorrected is 941 meV/atom.

---

(4)
First-principles (PBE-GGA) data for a relaxed ErTmAlAg crystal, as listed in the Alexandria database.

The structure belongs to space group P4mm (No. 99); the cell edges are 3.518, 3.518 and 7.455 Å and the angles 90.00°, 90.00° and 90.00°. Symmetry generates all atoms from Er at (0.000, 0.000, 0.000), Tm at (0.000, 0.000, 0.502), Al at (0.500, 0.500, 0.252) and Ag at (0.500, 0.500, 0.747).

The value obtained for the formation energy from the elements is -0.3682 eV per atom. For the uncorrected energy, the calculation gives -4.275 eV/atom.

---

(5)
First-principles (PBE-GGA) data for a relaxed Cs4NaBi2 crystal, as listed in the Alexandria database.

The structure belongs to space group R-3m (No. 166, hexagonal axes); the cell edges are 6.6871, 6.6871 and 34.5636 Å and the angles 90.00°, 90.00° and 120.00°. Symmetry generates all atoms from Cs at (0.0000, 0.0000, 0.1080), Cs at (0.0000, 0.0000, 0.2950), Na at (0.0000, 0.0000, 0.5000) and Bi at (0.0000, 0.0000, 0.4109).

The value obtained for the formation energy from the elements is -0.2900 eV per atom. For the uncorrected energy, the calculation gives -2.075 eV/atom.

---

(6)
First-principles (PBE-GGA) data for a relaxed Nd3CoI crystal, as listed in the Alexandria database.

The structure belongs to space group C2/m (No. 12); the cell edges are 15.000, 3.908 and 10.818 Å and the angles 90.00°, 107.66° and 90.00°. Symmetry generates all atoms from Nd at (0.029, 0.000, 0.359), Nd at (0.150, 0.500, 0.888), Nd at (0.225, 0.000, 0.645), Co at (0.085, 0.500, 0.590) and I at (0.128, 0.000, 0.123).

For the uncorrected energy, the calculation gives -4.962 eV/atom. Its energy relative to the elements, uncorrected is -370 meV/atom.

---

(7)
First-principles (PBE-GGA) data for a relaxed MgCdBr crystal, as listed in the Alexandria database.

The structure belongs to space group F-43m (No. 216); the cell edges are 7.159, 7.159 and 7.159 Å and the angles 90.00°, 90.00° and 90.00°. Symmetry generates all atoms from Mg at (0.000, 0.000, 0.000), Cd at (0.250, 0.250, 0.250) and Br at (0.250, 0.250, 0.750).

For the uncorrected energy, the calculation gives -1.576 eV/atom. Its energy relative to the elements, uncorrected is -182 meV/atom.

---

(8)
First-principles (PBE-GGA) data for a relaxed PbS2N crystal, as listed in the Alexandria database.

The structure belongs to space group I-42d (No. 122); the cell edges are 6.015, 6.015 and 9.028 Å and the angles 90.00°, 90.00° and 90.00°. Symmetry generates all atoms from Pb at (0.000, 0.000, 0.000), S at (0.091, 0.250, 0.625) and N at (0.000, 0.000, 0.500).

For the uncorrected energy, the calculation gives -4.326 eV/atom. Its energy relative to the elements, uncorrected is 746 meV/atom.